Pr6TlI8 | GGA-PBE | relaxed

Geometry as POSCAR:
```
Pr6TlI8
1.0
3.878 2.239 11.768
-3.878 2.239 11.768
0.000 -4.478 11.768
Pr Tl I
6 1 8
direct
0.122 0.448 0.775
0.225 0.878 0.552
0.448 0.775 0.122
0.552 0.225 0.878
0.775 0.122 0.448
0.878 0.552 0.225
0.500 0.500 0.500
0.059 0.724 0.392
0.167 0.167 0.167
0.276 0.608 0.941
0.392 0.059 0.724
0.608 0.941 0.276
0.724 0.392 0.059
0.833 0.833 0.833
0.941 0.276 0.608
```

Results
E_tot in eV/atom: -3.973
Spin magnetization in μB/f.u.: 0.000
SG: No. 148
Raw formation energy in eV per atom: -1.0767


LiPtI | GGA-PBE | relaxed

Geometry as POSCAR:
```
LiPtI
1.0
3.981 0.000 0.000
0.000 2.002 4.450
0.000 -2.002 4.450
Li Pt I
1 1 1
direct
0.000 0.000 0.000
0.500 0.452 0.452
0.500 0.741 0.741
```

Results
E_tot in eV/atom: -3.411
Spin magnetization in μB/f.u.: 0.000
SG: No. 38
Raw formation energy in eV per atom: -0.2423


SrFeB3 | GGA-PBE | relaxed

Geometry as POSCAR:
```
SrFeB3
1.0
4.604 0.000 0.000
0.000 4.604 0.000
0.000 0.000 4.604
Sr Fe B
1 1 3
direct
0.000 0.000 0.000
0.500 0.500 0.500
0.000 0.000 0.500
0.000 0.500 0.000
0.500 0.000 0.000
```

Results
E_form in eV per atom: 3.48
E_tot in eV/atom: -2.551
Spin magnetization in μB/f.u.: 0.593
SG: No. 221


CaZr2Ga2 | GGA-PBE | relaxed

Geometry as POSCAR:
```
CaZr2Ga2
1.0
8.290 0.000 0.000
0.000 8.290 0.000
0.000 0.000 3.222
Ca Zr Ga
2 4 4
direct
0.000 0.000 0.000
0.500 0.500 0.000
0.132 0.368 0.500
0.368 0.868 0.500
0.632 0.132 0.500
0.868 0.632 0.500
0.166 0.666 0.000
0.334 0.166 0.000
0.666 0.834 0.000
0.834 0.334 0.000
```

Results
E_form in eV per atom: -0.34
E_tot in eV/atom: -5.372
Spin magnetization in μB/f.u.: 0.000
SG: No. 127


KRbAsI6 | GGA-PBE | relaxed

Geometry as POSCAR:
```
KRbAsI6
1.0
8.631 0.000 0.000
-4.315 7.475 0.000
0.000 0.000 7.264
K Rb As I
1 1 1 6
direct
0.000 0.000 0.000
0.667 0.333 0.500
0.333 0.667 0.000
0.060 0.393 0.227
0.060 0.667 0.773
0.333 0.393 0.773
0.333 0.940 0.227
0.607 0.667 0.227
0.607 0.940 0.773
```

Results
E_tot in eV/atom: -2.401
Spin magnetization in μB/f.u.: 1.176
SG: No. 149
Raw formation energy in eV per atom: -0.6217


BeCdW2 | GGA-PBE | relaxed

Geometry as POSCAR:
```
BeCdW2
1.0
2.661 -4.355 0.000
2.661 4.355 0.000
0.000 0.000 2.702
Be Cd W
1 1 2
direct
0.000 0.000 0.000
0.500 0.500 0.000
0.000 0.500 0.500
0.500 0.000 0.500
```

Results
E_form in eV per atom: 0.63
E_tot in eV/atom: -7.004
Spin magnetization in μB/f.u.: 0.000
SG: No. 65